Record 1
First-principles (PBE-GGA) data for PmEuAs4 after structural relaxation, as listed in Alexandria.

Structure (POSCAR):
```
PmEuAs4
1.0
0.000 4.091 4.091
4.091 0.000 4.091
4.091 4.091 0.000
Pm Eu As
1 1 4
direct
0.000 0.000 0.000
0.750 0.750 0.750
0.375 0.375 0.375
0.375 0.375 0.875
0.375 0.875 0.375
0.875 0.375 0.375
```

Computed properties:
Crystal system: cubic
D(E_F): 0.390 states/eV/atom
Uncorrected energy: -36.6 eV per formula unit

Record 2
First-principles (PBE-GGA) data for Sc6MnZn5 after structural relaxation, as listed in Alexandria.

Structure (POSCAR):
```
Sc6MnZn5
1.0
-2.339 3.344 6.997
2.339 -3.344 6.997
2.339 3.344 -6.997
Sc Mn Zn
6 1 5
direct
0.081 0.340 0.740
0.233 0.000 0.233
0.400 0.660 0.740
0.600 0.340 0.260
0.767 0.000 0.767
0.919 0.660 0.260
0.000 0.500 0.500
0.170 0.170 0.000
0.333 0.833 0.500
0.500 0.500 0.000
0.667 0.167 0.500
0.830 0.830 0.000
```

Computed properties:
Crystal system: orthorhombic
D(E_F): 0.726 states/eV/atom
Uncorrected energy: -57.1 eV per formula unit

Record 3
First-principles (PBE-GGA) data for ZrZnAs after structural relaxation, as listed in Alexandria.

Structure (POSCAR):
```
ZrZnAs
1.0
-1.727 1.727 4.610
1.727 -1.727 4.610
1.727 1.727 -4.610
Zr Zn As
1 1 1
direct
0.000 0.000 0.000
0.316 0.316 0.000
0.668 0.668 0.000
```

Computed properties:
Crystal system: tetragonal
D(E_F): 0.987 states/eV/atom
Uncorrected energy: -15.5 eV per formula unit